Compound: Ce2SiGe3Pt4
Source: Alexandria
Functional: PBE
Structure: relaxed

The structure in CIF format:
```
data_Ce2SiGe3Pt4
_chemical_formula_sum 'Ce2 Si1 Ge3 Pt4'
_cell_length_a 4.366
_cell_length_b 4.366
_cell_length_c 9.914
_cell_angle_alpha 90.00
_cell_angle_beta 90.00
_cell_angle_gamma 90.00
_space_group_name_H-M_alt 'P -4 m 2'
_space_group_IT_number 115
loop_
_space_group_symop_operation_xyz
'x,y,z'
'y,-x,-z'
'-x,-y,z'
'-y,x,-z'
'-x,y,z'
'-y,-x,-z'
'x,-y,z'
'y,x,-z'
loop_
_atom_site_label
_atom_site_fract_x
_atom_site_fract_y
_atom_site_fract_z
Ce1 0.000 0.500 0.247
Si1 0.500 0.500 0.000
Ge1 0.000 0.000 0.000
Ge2 0.000 0.500 0.634
Pt1 0.000 0.000 0.500
Pt2 0.000 0.500 0.883
Pt3 0.500 0.500 0.500
```

Properties
**Formation energy (no corrections)**: -0.945 eV/atom


Compound: Ce3SiGe6Pt2
Source: Alexandria
Functional: PBE
Structure: relaxed

The structure in CIF format:
```
data_Ce3SiGe6Pt2
_chemical_formula_sum 'Ce3 Si1 Ge6 Pt2'
_cell_length_a 5.9907
_cell_length_b 5.9907
_cell_length_c 7.9863
_cell_angle_alpha 90.00
_cell_angle_beta 90.00
_cell_angle_gamma 120.00
_space_group_name_H-M_alt 'P -3 m 1'
_space_group_IT_number 164
_space_group_name_Hall '-P 3 2"'
loop_
_atom_site_label
_atom_site_fract_x
_atom_site_fract_y
_atom_site_fract_z
Ce1 0.0000 0.0000 0.0000
Ce2 0.3333 0.6667 0.6440
Si1 0.0000 0.0000 0.5000
Ge1 0.1857 0.3713 0.2893
Pt1 0.3333 0.6667 0.0168
```

Properties
**Formation energy (no corrections)**: -0.345 eV/atom


Compound: Ce2Si3GePt4
Source: Alexandria
Functional: PBE
Structure: relaxed

The structure in CIF format:
```
data_Ce2Si3GePt4
_chemical_formula_sum 'Ce2 Si3 Ge1 Pt4'
_cell_length_a 4.296
_cell_length_b 4.296
_cell_length_c 9.837
_cell_angle_alpha 90.00
_cell_angle_beta 90.00
_cell_angle_gamma 90.00
_space_group_name_H-M_alt 'P -4 m 2'
_space_group_IT_number 115
loop_
_space_group_symop_operation_xyz
'x,y,z'
'y,-x,-z'
'-x,-y,z'
'-y,x,-z'
'-x,y,z'
'-y,-x,-z'
'x,-y,z'
'y,x,-z'
loop_
_atom_site_label
_atom_site_fract_x
_atom_site_fract_y
_atom_site_fract_z
Ce1 0.000 0.500 0.249
Si1 0.000 0.000 0.000
Si2 0.000 0.500 0.629
Ge1 0.500 0.500 0.000
Pt1 0.000 0.000 0.500
Pt2 0.000 0.500 0.873
Pt3 0.500 0.500 0.500
```

Properties
**Formation energy (no corrections)**: -1.049 eV/atom


Compound: CeSmGePt
Source: Alexandria
Functional: PBE
Structure: relaxed

The structure in CIF format:
```
data_CeSmGePt
_chemical_formula_sum 'Ce4 Sm4 Ge4 Pt4'
_cell_length_a 7.241
_cell_length_b 7.241
_cell_length_c 7.241
_cell_angle_alpha 90.00
_cell_angle_beta 90.00
_cell_angle_gamma 90.00
_space_group_name_H-M_alt 'F -4 3 m'
_space_group_IT_number 216
_space_group_name_Hall 'F -4 2 3'
loop_
_atom_site_label
_atom_site_fract_x
_atom_site_fract_y
_atom_site_fract_z
Ce1 0.000 0.000 0.000
Sm1 0.000 0.000 0.500
Ge1 0.250 0.250 0.750
Pt1 0.250 0.250 0.250
```

Properties
**Excess energy over the best structure of this formula in the dataset**: 0 meV per atom
**DFT formation energy**: -790 meV/atom


Compound: Ce2SmGe2Pt7
Source: Alexandria
Functional: PBE
Structure: relaxed

The structure in CIF format:
```
data_Ce2SmGe2Pt7
_chemical_formula_sum 'Ce4 Sm2 Ge4 Pt14'
_cell_length_a 5.886
_cell_length_b 5.781
_cell_length_c 14.164
_cell_angle_alpha 90.00
_cell_angle_beta 98.54
_cell_angle_gamma 90.00
_space_group_name_H-M_alt 'C 1 2/m 1'
_space_group_IT_number 12
loop_
_space_group_symop_operation_xyz
'x,y,z'
'-x,-y,-z'
'-x,y,-z'
'x,-y,z'
'x+1/2,y+1/2,z'
'-x+1/2,-y+1/2,-z'
'-x+1/2,y+1/2,-z'
'x+1/2,-y+1/2,z'
loop_
_atom_site_label
_atom_site_fract_x
_atom_site_fract_y
_atom_site_fract_z
Ce1 0.115 0.000 0.358
Sm1 0.000 0.000 0.000
Ge1 0.093 0.500 0.254
Pt1 0.000 0.500 0.000
Pt2 0.125 0.500 0.429
Pt3 0.193 0.251 0.844
```

Properties
**DFT formation energy**: -924 meV/atom


Compound: Ce2SmGe2Pt2
Source: Alexandria
Functional: PBE
Structure: relaxed

The structure in CIF format:
```
data_Ce2SmGe2Pt2
_chemical_formula_sum 'Ce6 Sm3 Ge6 Pt6'
_cell_length_a 4.3855
_cell_length_b 4.3855
_cell_length_c 27.2417
_cell_angle_alpha 90.00
_cell_angle_beta 90.00
_cell_angle_gamma 120.00
_space_group_name_H-M_alt 'R -3 m'
_space_group_IT_number 166
_space_group_name_Hall '-R 3 2"'
loop_
_atom_site_label
_atom_site_fract_x
_atom_site_fract_y
_atom_site_fract_z
Ce1 0.0000 0.0000 0.1380
Sm1 0.0000 0.0000 0.0000
Ge1 0.0000 0.0000 0.2597
Pt1 0.0000 0.0000 0.4061
```

Properties
**DFT formation energy**: -903 meV/atom


Compound: CeSmGePt
Source: Alexandria
Functional: PBE
Structure: relaxed

The structure in CIF format:
```
data_CeSmGePt
_chemical_formula_sum 'Ce2 Sm2 Ge2 Pt2'
_cell_length_a 4.156
_cell_length_b 4.156
_cell_length_c 10.921
_cell_angle_alpha 90.00
_cell_angle_beta 90.00
_cell_angle_gamma 90.00
_space_group_name_H-M_alt 'P 4/n m m'
_space_group_IT_number 129
loop_
_space_group_symop_operation_xyz
'x,y,z'
'-x,-y,-z'
'-y+1/2,x,z'
'y+1/2,-x,-z'
'-x+1/2,-y+1/2,z'
'x+1/2,y+1/2,-z'
'y,-x+1/2,z'
'-y,x+1/2,-z'
'x+1/2,-y,-z'
'-x+1/2,y,z'
'-y,-x,-z'
'y,x,z'
'-x,y+1/2,-z'
'x,-y+1/2,z'
'y+1/2,x+1/2,-z'
'-y+1/2,-x+1/2,z'
loop_
_atom_site_label
_atom_site_fract_x
_atom_site_fract_y
_atom_site_fract_z
Ce1 0.250 0.750 0.000
Sm1 0.250 0.250 0.292
Ge1 0.250 0.250 0.557
Pt1 0.250 0.250 0.790
```

Properties
**Excess energy over the best structure of this formula in the dataset**: 143 meV per atom
**DFT formation energy**: -647 meV/atom


Compound: Ce2SmGe4Pt3
Source: Alexandria
Functional: PBE
Structure: relaxed

The structure in CIF format:
```
data_Ce2SmGe4Pt3
_chemical_formula_sum 'Ce2 Sm1 Ge4 Pt3'
_cell_length_a 4.345
_cell_length_b 4.345
_cell_length_c 11.243
_cell_angle_alpha 90.00
_cell_angle_beta 90.00
_cell_angle_gamma 90.00
_space_group_name_H-M_alt 'P -4 m 2'
_space_group_IT_number 115
loop_
_space_group_symop_operation_xyz
'x,y,z'
'y,-x,-z'
'-x,-y,z'
'-y,x,-z'
'-x,y,z'
'-y,-x,-z'
'x,-y,z'
'y,x,-z'
loop_
_atom_site_label
_atom_site_fract_x
_atom_site_fract_y
_atom_site_fract_z
Ce1 0.000 0.500 0.227
Sm1 0.000 0.000 0.500
Ge1 0.000 0.000 0.000
Ge2 0.000 0.500 0.667
Ge3 0.500 0.500 0.000
Pt1 0.000 0.500 0.886
Pt2 0.500 0.500 0.500
```

Properties
**DFT formation energy**: -849 meV/atom